## CrO (PBE+U)

Data for a relaxed structure of CrO.

Total magnetic moment: 30.7 μB/cell
Electronic total energy: -119.2 eV for the cell shown
Fermi-level density of states: 0.209 states/eV per atom

Unit cell a=8.9884 b=8.9884 c=3.2808 alpha=90.00 beta=90.00 gamma=90.00
Closest atoms and distances in Å follow each position.
Space group P4/m (No. 83)
Symmetry-distinct sites (fractional):
Cr (0.0794, 0.3435, 0.0000) [4 per cell]  3 O 1.99-2.04
Cr (0.2648, 0.5872, 0.5000) [4 per cell]  4 O 2.01-2.06
O (0.1396, 0.6234, 0.0000) [4 per cell]  3 Cr 1.99-2.02
O (0.2126, 0.3636, 0.5000) [4 per cell]  4 Cr 2.01-2.06